## CoOsOF2 (GGA+U)

Data for a relaxed structure of CoOsOF2.

Computed properties:
- V (Å³ per cell) = 62.6
- energy relative to the lowest polymorph listed for this composition (meV/atom) = 277.4
- size of the total moment (μB per cell) = 7.2
- E (eV per cell) = -25.01

Cell lengths 4.059, 4.059, 3.798 Å; angles 90.00, 90.00, 90.00 degrees
Space group P4/mmm (No. 123)
Symmetry-distinct sites (fractional):
Co (0.000, 0.000, 0.000) [1 per cell]
Os (0.500, 0.500, 0.500) [1 per cell]
O (0.000, 0.000, 0.500) [1 per cell]
F (0.000, 0.500, 0.000) [2 per cell]